12
Lattice="7.145 0.000 0.000 -3.573 6.188 0.000 0.000 0.000 4.260" Properties=species:S:1:pos:R:3 comment="TaCo | Alexandria | PBE | optimized geometry" sg="P6_3/m (176)" e_form_kj_per_mol_atoms=28 magmom_total_mub_per_atom=0.001 pbc="T T T"
Ta -1.719 4.028 1.065
Ta 0.944 2.685 1.065
Ta 2.798 0.525 3.195
Ta 0.775 5.663 1.065
Ta 2.628 3.503 3.195
Ta 5.292 2.160 3.195
Co -2.630 5.029 3.195
Co 0.532 1.396 3.195
Co 1.475 0.237 1.065
Co 2.097 5.951 3.195
Co 3.040 4.792 1.065
Co 6.202 1.159 1.065